Version i
Computed, not measured: crystalline NaLiBeF4 at its relaxed geometry at the PBE level of DFT.

Values from the calculation:
- Crystal system: tetragonal
- Symmetry: I-4, No. 82

abc: 5.014 5.014 7.413
angles: 90.00 90.00 90.00
Atoms (fractional coordinates):
Na: 0.000 0.000 0.000
Na: 0.500 0.500 0.500
Li: 0.000 0.000 0.500
Li: 0.500 0.500 0.000
Be: 0.000 0.500 0.750
Be: 0.500 0.000 0.250
F: 0.148 0.290 0.631
F: 0.210 0.648 0.869
F: 0.290 0.852 0.369
F: 0.352 0.210 0.131
F: 0.648 0.790 0.131
F: 0.710 0.148 0.369
F: 0.790 0.352 0.869
F: 0.852 0.710 0.631

Version ii
Computed, not measured: crystalline NaLiBeF4 at its relaxed geometry at the PBE level of DFT.

Values from the calculation:
- Crystal system: orthorhombic
- Symmetry: Pnma, No. 62

abc: 10.927 6.264 4.667
angles: 90.00 90.00 90.00
Atoms (fractional coordinates):
Na: 0.225 0.250 0.031
Na: 0.275 0.750 0.531
Na: 0.725 0.250 0.469
Na: 0.775 0.750 0.969
Li: 0.000 0.000 0.500
Li: 0.000 0.500 0.500
Li: 0.500 0.000 0.000
Li: 0.500 0.500 0.000
Be: 0.080 0.750 0.100
Be: 0.420 0.250 0.600
Be: 0.580 0.750 0.400
Be: 0.920 0.250 0.900
F: 0.051 0.250 0.752
F: 0.077 0.750 0.769
F: 0.145 0.548 0.230
F: 0.145 0.952 0.230
F: 0.355 0.048 0.730
F: 0.355 0.452 0.730
F: 0.423 0.250 0.269
F: 0.449 0.750 0.252
F: 0.551 0.250 0.748
F: 0.577 0.750 0.731
F: 0.645 0.548 0.270
F: 0.645 0.952 0.270
F: 0.855 0.048 0.770
F: 0.855 0.452 0.770
F: 0.923 0.250 0.231
F: 0.949 0.750 0.248

Preferred: version ii; penalty for the next structure: 1.1 kJ/mol of atoms.